1.
The following is a DFT calculation (PBE-GGA) of a relaxed structure of Li2HfAuO.

```
data_Li2HfAuO
_space_group_name_H-M_alt 'P 4/m m m'
_space_group_IT_number 123
_space_group_name_Hall '-P 4 2'
_cell_length_a 4.076
_cell_length_b 4.076
_cell_length_c 4.251
_cell_angle_alpha 90.00
_cell_angle_beta 90.00
_cell_angle_gamma 90.00
loop_
_atom_site_label
_atom_site_type_symbol
_atom_site_fract_x
_atom_site_fract_y
_atom_site_fract_z
Li1 Li 0.000 0.500 0.000
Hf1 Hf 0.000 0.000 0.500
Au1 Au 0.500 0.500 0.500
O1 O 0.000 0.000 0.000
```

Results
* size of the total moment: 0.00 μB per formula unit
* raw formation energy: -1.258 eV/atom

2.
The following is a DFT calculation (PBE-GGA) of a relaxed structure of Pa2ZnB2Ru5.

```
data_Pa2ZnB2Ru5
_space_group_name_H-M_alt 'P 4/m b m'
_space_group_IT_number 127
_space_group_name_Hall '-P 4 2ab'
_cell_length_a 9.513
_cell_length_b 9.513
_cell_length_c 3.218
_cell_angle_alpha 90.00
_cell_angle_beta 90.00
_cell_angle_gamma 90.00
loop_
_atom_site_label
_atom_site_type_symbol
_atom_site_fract_x
_atom_site_fract_y
_atom_site_fract_z
Pa1 Pa 0.176 0.324 0.000
Zn1 Zn 0.000 0.000 0.000
B1 B 0.123 0.623 0.000
Ru1 Ru 0.000 0.500 0.500
Ru2 Ru 0.072 0.781 0.500
```

Results
* size of the total moment: 0.00 μB per formula unit
* DFT total energy: -171.0 eV for the cell shown

3.
The following is a DFT calculation (PBE-GGA) of a relaxed structure of Cr2Ni5Rh4.

```
data_Cr2Ni5Rh4
_space_group_name_H-M_alt 'C 1 2/m 1'
_space_group_IT_number 12
_cell_length_a 11.839
_cell_length_b 2.653
_cell_length_c 9.488
_cell_angle_alpha 90.00
_cell_angle_beta 107.82
_cell_angle_gamma 90.00
loop_
_space_group_symop_operation_xyz
'x,y,z'
'-x,-y,-z'
'-x,y,-z'
'x,-y,z'
'x+1/2,y+1/2,z'
'-x+1/2,-y+1/2,-z'
'-x+1/2,y+1/2,-z'
'x+1/2,-y+1/2,z'
loop_
_atom_site_label
_atom_site_type_symbol
_atom_site_fract_x
_atom_site_fract_y
_atom_site_fract_z
Cr1 Cr 0.187 0.000 0.411
Ni1 Ni 0.000 0.000 0.500
Ni2 Ni 0.172 0.500 0.926
Ni3 Ni 0.192 0.000 0.703
Rh1 Rh 0.002 0.500 0.278
Rh2 Rh 0.118 0.000 0.122
```

Results
* size of the total moment: 0.01 μB per formula unit
* DFT total energy: -150.7 eV for the cell shown

4.
The following is a DFT calculation (PBE-GGA) of a relaxed structure of CeGa3Pt.

```
data_CeGa3Pt
_space_group_name_H-M_alt 'I -4 m 2'
_space_group_IT_number 119
_space_group_name_Hall 'I -4 -2'
_cell_length_a 4.232
_cell_length_b 4.232
_cell_length_c 10.692
_cell_angle_alpha 90.00
_cell_angle_beta 90.00
_cell_angle_gamma 90.00
loop_
_atom_site_label
_atom_site_type_symbol
_atom_site_fract_x
_atom_site_fract_y
_atom_site_fract_z
Ce1 Ce 0.000 0.000 0.000
Ga1 Ga 0.000 0.000 0.385
Ga2 Ga 0.000 0.500 0.250
Pt1 Pt 0.000 0.500 0.750
```

Results
* excess energy over the best structure of this formula in the dataset: 81 meV per atom
* size of the total moment: 0.55 μB per formula unit

The records above give, respectively, calculated volume values of 14.126, 14.559, 12.895, 19.154 A^3/atom.